Entry 1:
A relaxed structure of LaPaSn, computed with PBE-GGA.

Properties
ρ	9.37	Mg/m³
D(E_F)	1.97	states/eV/atom
ΔE_f	-0.13	eV per atom

abc: 4.203 4.203 9.799
angles: 90.00 90.00 90.00
Atoms (fractional coordinates):
La  0.000  0.000  0.000
La  0.500  0.500  0.500
Pa  0.000  0.000  0.291
Pa  0.500  0.500  0.791
Sn  0.000  0.000  0.651
Sn  0.500  0.500  0.151


Entry 2:
A relaxed structure of LaPaZnSn, computed with PBE-GGA.

Properties
ρ	8.62	Mg/m³
D(E_F)	2.12	states/eV/atom
ΔE_f	-0.13	eV per atom

abc: 7.531 7.531 7.531
angles: 90.00 90.00 90.00
Atoms (fractional coordinates):
La  0.000  0.000  0.000
La  0.000  0.500  0.500
La  0.500  0.000  0.500
La  0.500  0.500  0.000
Pa  0.000  0.000  0.500
Pa  0.000  0.500  0.000
Pa  0.500  0.000  0.000
Pa  0.500  0.500  0.500
Zn  0.250  0.250  0.250
Zn  0.250  0.750  0.750
Zn  0.750  0.250  0.750
Zn  0.750  0.750  0.250
Sn  0.250  0.250  0.750
Sn  0.250  0.750  0.250
Sn  0.750  0.250  0.250
Sn  0.750  0.750  0.750


Entry 3:
A relaxed structure of LaTbPa4, computed with PBE-GGA.

Properties
ρ	12.20	Mg/m³
D(E_F)	2.50	states/eV/atom
ΔE_f	0.22	eV per atom

abc: 6.173 6.173 6.173
angles: 60.00 60.00 60.00
Atoms (fractional coordinates):
La  0.000  0.000  0.000
Tb  0.750  0.750  0.750
Pa  0.375  0.375  0.375
Pa  0.375  0.375  0.874
Pa  0.375  0.874  0.375
Pa  0.874  0.375  0.375


Entry 4:
A relaxed structure of LaPaTc4, computed with PBE-GGA.

Properties
ρ	11.11	Mg/m³
D(E_F)	2.25	states/eV/atom
ΔE_f	0.02	eV per atom

abc: 5.440 5.440 5.440
angles: 60.00 60.00 60.00
Atoms (fractional coordinates):
La  0.000  0.000  0.000
Pa  0.250  0.250  0.250
Tc  0.125  0.625  0.625
Tc  0.625  0.125  0.625
Tc  0.625  0.625  0.125
Tc  0.625  0.625  0.625


Entry 5:
A relaxed structure of LaPaTc, computed with PBE-GGA.

Properties
ρ	9.30	Mg/m³
D(E_F)	1.01	states/eV/atom
ΔE_f	-0.01	eV per atom

abc: 6.825 4.257 11.822
angles: 90.00 103.37 90.00
Atoms (fractional coordinates):
La  0.132  0.000  0.359
La  0.368  0.500  0.641
La  0.632  0.500  0.359
La  0.868  0.000  0.641
Pa  0.156  0.500  0.901
Pa  0.344  0.000  0.099
Pa  0.656  0.000  0.901
Pa  0.844  0.500  0.099
Tc  0.230  0.500  0.201
Tc  0.270  0.000  0.799
Tc  0.730  0.000  0.201
Tc  0.770  0.500  0.799


Entry 6:
A relaxed structure of LaPaTc, computed with PBE-GGA.

Properties
ρ	9.80	Mg/m³
D(E_F)	1.11	states/eV/atom
ΔE_f	0.06	eV per atom

abc: 8.270 4.443 9.064
angles: 90.00 107.80 90.00
Atoms (fractional coordinates):
La  0.125  0.000  0.399
La  0.375  0.500  0.601
La  0.625  0.500  0.399
La  0.875  0.000  0.601
Pa  0.209  0.500  0.127
Pa  0.291  0.000  0.873
Pa  0.709  0.000  0.127
Pa  0.791  0.500  0.873
Tc  0.118  0.500  0.797
Tc  0.382  0.000  0.203
Tc  0.618  0.000  0.797
Tc  0.882  0.500  0.203


no.,total moment (μB/atom)
1,0.168
2,0.394
3,0.000
4,0.000
5,0.000
6,0.000